1.
VASP calculation (PBE) on CdGa3Pb2Au12 after structural relaxation.

Cell lengths 8.8491, 8.8491, 18.0557 Å; angles 90.00, 90.00, 120.00 degrees
Space group R-3m (No. 166, hexagonal axes)
Unique sites:
1 Cd 0.0000 0.0000 0.0000 (multiplicity 3)
2 Ga 0.0000 0.5000 0.5000 (multiplicity 9)
3 Pb 0.0000 0.0000 0.4049 (multiplicity 6)
4 Au 0.0242 0.5121 0.3573 (multiplicity 18)
5 Au 0.0282 0.5141 0.8822 (multiplicity 18)

Properties
DFT formation energy, eV/f.u.: 0.81

---

2.
VASP calculation (PBE) on ZrCo2S after structural relaxation.

Cell lengths 4.177, 4.177, 14.327 Å; angles 90.00, 90.00, 90.00 degrees
Space group I-42d (No. 122)
Unique sites:
1 Zr 0.000 0.000 0.000 (multiplicity 4)
2 Co 0.110 0.250 0.625 (multiplicity 8)
3 S 0.000 0.000 0.500 (multiplicity 4)

Properties
Uncorrected formation energy, eV/f.u.: -0.8

---

3.
VASP calculation (PBE) on Tl4SnS4 after structural relaxation.

Cell lengths 8.504, 8.416, 15.892 Å; angles 90.00, 104.78, 90.00 degrees
Space group P2_1/c (No. 14)
Unique sites:
1 Tl 0.025 0.007 0.131 (multiplicity 4)
2 Tl 0.186 0.101 0.624 (multiplicity 4)
3 Tl 0.394 0.677 0.611 (multiplicity 4)
4 Tl 0.400 0.713 0.361 (multiplicity 4)
5 Sn 0.213 0.116 0.377 (multiplicity 4)
6 S 0.057 0.675 0.214 (multiplicity 4)
7 S 0.186 0.616 0.965 (multiplicity 4)
8 S 0.306 0.150 0.964 (multiplicity 4)
9 S 0.402 0.056 0.290 (multiplicity 4)

Properties
Offset from the most stable computed form, kJ/mol of atoms: 0.0
Uncorrected formation energy, eV/f.u.: -3.7

---

4.
VASP calculation (PBE) on Ba2PrTmS4 after structural relaxation.

Cell lengths 7.237, 4.169, 7.533 Å; angles 90.00, 108.56, 90.00 degrees
Space group P2/m (No. 10)
Unique sites:
1 Ba 0.000 0.000 0.000 (multiplicity 1)
2 Ba 0.500 0.500 0.000 (multiplicity 1)
3 Pr 0.000 0.500 0.500 (multiplicity 1)
4 Tm 0.500 0.000 0.500 (multiplicity 1)
5 S 0.252 0.000 0.716 (multiplicity 2)
6 S 0.275 0.500 0.291 (multiplicity 2)

Properties
Uncorrected formation energy, eV/f.u.: -15.9